Here is an optimized crystal structure of MnGa2Hg2 from the Alexandria database. Energies are from PBE.

abc: 6.7402 6.7402 6.7402
angles: 143.12 143.12 53.15
Closest atoms and distances in Å follow each position.
Fractional coordinates of all 5 atoms:
Mn: 0.0000 0.0000 0.0000  8 Ga 3.24
Ga: 0.4006 0.4006 0.0000  1 Ga 2.40
Ga: 0.5994 0.5994 0.0000  1 Ga 2.40
Hg: 0.2500 0.7500 0.5000  4 Ga 2.80, 4 Hg 3.02
Hg: 0.7500 0.2500 0.5000  4 Ga 2.80, 4 Hg 3.02

Calculated values
Calculated total energy ... -2.7417 eV/atom
Calculated density ... 9.0 g cm⁻³
Magnetic moment ... 4.34 μB per formula unit
DOS at the Fermi energy ... 0.368 states/eV per atom